DFT (GGA+U) results for crystalline Sc2Fe2O at its relaxed geometry.

The structure in POSCAR format:
```
Sc2Fe2O
1.0
5.802 0.000 0.000
0.000 5.802 0.000
0.000 0.000 5.420
Sc Fe O
4 4 2
Direct
0.318 0.818 0.000 Sc
0.818 0.682 0.000 Sc
0.682 0.182 0.000 Sc
0.182 0.318 0.000 Sc
0.158 0.658 0.500 Fe
0.658 0.842 0.500 Fe
0.842 0.342 0.500 Fe
0.342 0.158 0.500 Fe
0.000 0.000 0.000 O
0.500 0.500 0.000 O
```

- V: 91.2 Å³/f.u.
- Excess energy over the best structure of this formula in the dataset: 0.0 meV/atom